Here is PrV2O4 after structural relaxation from Alexandria via LeMat-Bulk. Energies are from GGA+U.

a = 6.071 Å, b = 6.071 Å, c = 6.210 Å
α = 109.29°, β = 111.33°, γ = 106.86°
Site moments in Bohr magnetons follow the coordinates.
Atoms (fractional coordinates):
O: 0.914 0.590 0.680  -0.01
O: 0.340 0.516 0.180  -0.01
O: 0.837 0.646 0.180  -0.01
O: 0.336 0.160 0.820  -0.01
O: 0.413 0.104 0.320  -0.01
O: 0.784 0.093 0.680  -0.01
O: 0.466 0.657 0.820  -0.01
O: 0.910 0.234 0.320  -0.01
V: 0.625 0.375 0.750  2.55
V: 0.125 0.375 0.750  2.04
V: 0.625 0.875 0.250  2.55
V: 0.625 0.375 0.250  2.04
Pr: 0.256 0.756 0.500  0.02
Pr: 0.994 0.994 0.000  0.02

**Symmetry**: C2/c
**VASP energy**: -8.012 eV per atom
**M_tot**: 10.00 μB per cell